First-principles (GGA+U) data for a geometry-optimized V2SbF2 structure, as listed in the Alexandria database.

Values from the calculation:
Total magnetization   10.1 Bohr magnetons per cell
Energy above the lowest structure with this stoichiometry   0.00 eV per formula unit

Lattice parameters (Å, degrees): 4.3330 4.3330 8.7094 90.00 90.00 90.00
Last column: nearest neighbours and their distance in Å.
Space group I4/mmm (No. 139)
Symmetry-distinct sites (fractional):
V: 0.0000 0.5000 0.2500 [4 per cell]  4 F 2.28
Sb: 0.0000 0.0000 0.0000 [2 per cell]  2 F 2.90, 8 V 3.07
F: 0.0000 0.0000 0.3333 [4 per cell]  4 V 2.28

***

First-principles (GGA+U) data for a geometry-optimized SbW2F structure, as listed in the Alexandria database.

Values from the calculation:
Total magnetization   31.3 Bohr magnetons per cell
Energy above the lowest structure with this stoichiometry   0.00 eV per formula unit

Lattice parameters (Å, degrees): 6.8320 6.8320 6.8320 90.00 90.00 90.00
Last column: nearest neighbours and their distance in Å.
Space group Fm-3m (No. 225)
Symmetry-distinct sites (fractional):
Sb: 0.0000 0.0000 0.0000 [4 per cell]  8 W 2.96
W: 0.2500 0.2500 0.2500 [8 per cell]  4 Sb 2.96, 4 F 2.96
F: 0.0000 0.0000 0.5000 [4 per cell]  8 W 2.96

***

First-principles (GGA+U) data for a geometry-optimized SbW3F structure, as listed in the Alexandria database.

Values from the calculation:
Total magnetization   3.0 Bohr magnetons per cell
Energy above the lowest structure with this stoichiometry   0.00 eV per formula unit

Lattice parameters (Å, degrees): 4.4325 4.4325 4.4325 90.00 90.00 90.00
Last column: nearest neighbours and their distance in Å.
Space group Pm-3m (No. 221)
Symmetry-distinct sites (fractional):
Sb: 0.0000 0.0000 0.0000 [1 per cell]  12 W 3.13
W: 0.0000 0.5000 0.5000 [3 per cell]  2 F 2.22
F: 0.5000 0.5000 0.5000 [1 per cell]  6 W 2.22

***

First-principles (GGA+U) data for a geometry-optimized SbW3F structure, as listed in the Alexandria database.

Values from the calculation:
Total magnetization   14.0 Bohr magnetons per cell
Energy above the lowest structure with this stoichiometry   2.59 eV per formula unit

Lattice parameters (Å, degrees): 5.5349 5.5349 5.5349 90.00 90.00 90.00
Last column: nearest neighbours and their distance in Å.
Space group Pm-3m (No. 221)
Symmetry-distinct sites (fractional):
Sb: 0.0000 0.0000 0.0000 [1 per cell]  6 W 2.77
W: 0.0000 0.0000 0.5000 [3 per cell]  2 Sb 2.77
F: 0.5000 0.5000 0.5000 [1 per cell]  12 W 3.91

***

First-principles (GGA+U) data for a geometry-optimized Sb2WF structure, as listed in the Alexandria database.

Values from the calculation:
Total magnetization   12.3 Bohr magnetons per cell
Energy above the lowest structure with this stoichiometry   0.00 eV per formula unit

Lattice parameters (Å, degrees): 6.8422 6.8422 6.8422 90.00 90.00 90.00
Last column: nearest neighbours and their distance in Å.
Space group Fm-3m (No. 225)
Symmetry-distinct sites (fractional):
Sb: 0.2500 0.2500 0.2500 [8 per cell]  4 F 2.96, 4 W 2.96
W: 0.0000 0.0000 0.0000 [4 per cell]  8 Sb 2.96
F: 0.0000 0.0000 0.5000 [4 per cell]  8 Sb 2.96

***

First-principles (GGA+U) data for a geometry-optimized Sb3WF structure, as listed in the Alexandria database.

Values from the calculation:
Total magnetization   3.2 Bohr magnetons per cell
Energy above the lowest structure with this stoichiometry   0.00 eV per formula unit

Lattice parameters (Å, degrees): 4.8832 4.8832 4.8832 90.00 90.00 90.00
Last column: nearest neighbours and their distance in Å.
Space group Pm-3m (No. 221)
Symmetry-distinct sites (fractional):
Sb: 0.0000 0.0000 0.5000 [3 per cell]  2 F 2.44
W: 0.5000 0.5000 0.5000 [1 per cell]  12 Sb 3.45
F: 0.0000 0.0000 0.0000 [1 per cell]  6 Sb 2.44

***

First-principles (GGA+U) data for a geometry-optimized SbW2F structure, as listed in the Alexandria database.

Values from the calculation:
Total magnetization   1.3 Bohr magnetons per cell
Energy above the lowest structure with this stoichiometry   1.42 eV per formula unit

Lattice parameters (Å, degrees): 3.9606 3.9606 18.8193 90.00 90.00 90.00
Last column: nearest neighbours and their distance in Å.
Space group I-42d (No. 122)
Symmetry-distinct sites (fractional):
Sb: 0.0000 0.0000 0.0000 [4 per cell]  4 W 2.73, 4 F 2.80
W: 0.2459 0.2500 0.1250 [8 per cell]  2 Sb 2.73, 2 F 2.74, 4 W 2.78-2.82
F: 0.0000 0.0000 0.5000 [4 per cell]  4 W 2.74, 4 Sb 2.80

***

First-principles (GGA+U) data for a geometry-optimized Sb3WF structure, as listed in the Alexandria database.

Values from the calculation:
Total magnetization   0.0 Bohr magnetons per cell
Energy above the lowest structure with this stoichiometry   0.19 eV per formula unit

Lattice parameters (Å, degrees): 5.2370 5.2370 5.2370 90.00 90.00 90.00
Last column: nearest neighbours and their distance in Å.
Space group Pm-3m (No. 221)
Symmetry-distinct sites (fractional):
Sb: 0.0000 0.0000 0.5000 [3 per cell]  2 W 2.62
W: 0.0000 0.0000 0.0000 [1 per cell]  6 Sb 2.62
F: 0.5000 0.5000 0.5000 [1 per cell]  12 Sb 3.70

***

First-principles (GGA+U) data for a geometry-optimized Sb2WF structure, as listed in the Alexandria database.

Values from the calculation:
Total magnetization   12.0 Bohr magnetons per cell
Energy above the lowest structure with this stoichiometry   1.22 eV per formula unit

Lattice parameters (Å, degrees): 4.4010 4.4010 19.2986 90.00 90.00 90.00
Last column: nearest neighbours and their distance in Å.
Space group I-42d (No. 122)
Symmetry-distinct sites (fractional):
Sb: 0.2303 0.2500 0.1250 [8 per cell]  2 F 2.84, 2 W 2.90, 2 Sb 2.99
W: 0.0000 0.0000 0.5000 [4 per cell]  4 Sb 2.90, 4 F 3.11
F: 0.0000 0.0000 0.0000 [4 per cell]  4 Sb 2.84, 4 W 3.11

***

Q: Which formula does entry 9 have?
A: Sb2WF